[1]
A plane-wave DFT calculation with PBE was carried out for a relaxed structure of YSn2Au.

a b c (Å): 4.4472 4.4472 11.1052
angles (deg): 78.45 78.45 90.00
Sites, in units of the cell vectors:
Sn (0.6467, 0.1250, 0.2500)
Sn (0.3750, 0.3533, 0.7500)
Sn (0.8750, 0.8967, 0.7500)
Sn (0.1033, 0.6250, 0.2500)
Au (0.7500, 0.2500, 0.5000)
Au (0.0000, 0.0000, 0.0000)
Y (0.2500, 0.7500, 0.5000)
Y (0.5000, 0.5000, 0.0000)

N(E_F): 0.813 states/eV per atom
Space group: I-42d (122)
Uncorrected energy: -4.770 eV/atom

---

[2]
A plane-wave DFT calculation with PBE was carried out for a relaxed structure of Y7Sn2Au2.

a b c (Å): 6.9997 7.0788 6.9997
angles (deg): 90.00 106.65 90.00
Sites, in units of the cell vectors:
Y (0.5000, 0.7530, 0.5000)
Y (0.0000, 0.0000, 0.0000)
Y (0.5000, 0.7372, 0.0000)
Y (0.5000, 0.2628, 0.0000)
Y (0.0000, 0.2628, 0.5000)
Y (0.0000, 0.7372, 0.5000)
Y (0.5000, 0.2470, 0.5000)
Sn (0.8211, 0.5000, 0.8211)
Sn (0.1789, 0.5000, 0.1789)
Au (0.7129, 0.0000, 0.2871)
Au (0.2871, 0.0000, 0.7129)

N(E_F): 0.954 states/eV per atom
Space group: Cmmm (65)
Uncorrected energy: -5.847 eV/atom

---

[3]
A plane-wave DFT calculation with PBE was carried out for a relaxed structure of YSn2Au6.

a b c (Å): 5.2882 9.0904 9.0904
angles (deg): 121.21 90.18 90.18
Sites, in units of the cell vectors:
Au (0.2443, 0.5876, 0.0849)
Au (0.9996, 0.1652, 0.0012)
Au (0.9963, 0.4998, 0.3334)
Au (0.5004, 0.9988, 0.8348)
Au (0.4996, 0.0012, 0.1652)
Au (0.7557, 0.4124, 0.9151)
Au (0.5037, 0.6666, 0.5002)
Au (0.0004, 0.8348, 0.9988)
Au (0.4963, 0.3334, 0.4998)
Au (0.7443, 0.0849, 0.5876)
Au (0.2557, 0.9151, 0.4124)
Au (0.0037, 0.5002, 0.6666)
Sn (0.5051, 0.6595, 0.8376)
Sn (0.4949, 0.3405, 0.1624)
Sn (0.0051, 0.8376, 0.6595)
Sn (0.9949, 0.1624, 0.3405)
Y (0.7500, 0.7508, 0.2492)
Y (0.2500, 0.2492, 0.7508)

N(E_F): 0.253 states/eV per atom
Space group: C2/c (15)
Uncorrected energy: -4.113 eV/atom

---

[4]
A plane-wave DFT calculation with PBE was carried out for a relaxed structure of YSnAu4.

a b c (Å): 5.6412 5.6412 5.6412
angles (deg): 60.00 60.00 60.00
Sites, in units of the cell vectors:
Au (0.6249, 0.6249, 0.6249)
Au (0.1253, 0.6249, 0.6249)
Au (0.6249, 0.1253, 0.6249)
Au (0.6249, 0.6249, 0.1253)
Y (0.2500, 0.2500, 0.2500)
Sn (0.0000, 0.0000, 0.0000)

N(E_F): 0.600 states/eV per atom
Space group: F-43m (216)
Polymorph energy (0 for the lowest one): 79 meV per atom

---

[5]
A plane-wave DFT calculation with PBE was carried out for a relaxed structure of YSnAu4.

a b c (Å): 4.8153 4.8153 6.3388
angles (deg): 90.00 90.00 120.00
Sites, in units of the cell vectors:
Y (0.0000, 0.0000, 0.0000)
Au (0.3333, 0.6667, 0.7536)
Au (0.3333, 0.6667, 0.2464)
Au (0.6667, 0.3333, 0.7536)
Au (0.6667, 0.3333, 0.2464)
Sn (0.0000, 0.0000, 0.5000)

N(E_F): 0.414 states/eV per atom
Space group: P6/mmm (191)
Polymorph energy (0 for the lowest one): 0 meV per atom

---

[6]
A plane-wave DFT calculation with PBE was carried out for a relaxed structure of YSn2Au4.

a b c (Å): 4.7366 4.7366 8.6363
angles (deg): 73.97 73.97 59.87
Sites, in units of the cell vectors:
Au (0.8677, 0.8677, 0.3933)
Au (0.1323, 0.1323, 0.6067)
Au (0.6088, 0.6089, 0.1726)
Au (0.3912, 0.3911, 0.8274)
Y (0.0000, 0.0000, 0.0000)
Sn (0.2436, 0.2436, 0.2666)
Sn (0.7564, 0.7564, 0.7334)

N(E_F): 0.461 states/eV per atom
Space group: C2/m (12)
Uncorrected energy: -4.335 eV/atom

---

[7]
A plane-wave DFT calculation with PBE was carried out for a relaxed structure of Y2SnAu2.

a b c (Å): 3.8730 3.8730 8.9464
angles (deg): 77.50 77.50 90.00
Sites, in units of the cell vectors:
Sn (0.0000, 0.0000, 0.0000)
Y (0.6105, 0.6105, 0.7790)
Y (0.3895, 0.3895, 0.2210)
Au (0.7500, 0.2500, 0.5000)
Au (0.2500, 0.7500, 0.5000)

N(E_F): 0.875 states/eV per atom
Space group: I4/mmm (139)
Uncorrected energy: -5.232 eV/atom

---

[8]
A plane-wave DFT calculation with PBE was carried out for a relaxed structure of Y2SnAu2.

a b c (Å): 5.0792 5.0792 6.4296
angles (deg): 66.73 66.73 90.00
Sites, in units of the cell vectors:
Au (0.3770, 0.3770, 0.2461)
Au (0.6230, 0.6230, 0.7539)
Y (0.2500, 0.7500, 0.5000)
Y (0.7500, 0.2500, 0.5000)
Sn (0.0000, 0.0000, 0.0000)

N(E_F): 0.605 states/eV per atom
Space group: I4/mmm (139)
Uncorrected energy: -5.193 eV/atom

---

- Which value of N(E_F) does entry 5 give?
  0.414 states/eV per atom

---

- Which value of N(E_F) does entry 3 give?
  0.253 states/eV per atom